Ta2InAg: optimized geometry, GGA-PBE.

Total moment: 0.00 μB/f.u.
Calculated formation energy: 0.1550 eV/atom

Cell and atoms, written as extended XYZ:
```
4
Lattice="-0.132 0.871 2.764 2.759 -0.811 0.387 2.771 8.249 -2.466" Properties=species:S:1:pos:R:3 pbc="T T T"
Ta 2.008 2.098 0.958
Ta 0.018 0.055 -0.016
Ag 1.368 4.072 -1.217
In 3.389 6.208 -0.271
```